(1)
The following is a PBE calculation of MnTcSe after structural relaxation, from Alexandria.

Results
V   44.3 Å³ per cell
SG   Imm2 (44)
Energy above the most stable polymorph in this dataset   0.147 eV/atom
Energy relative to the elements, uncorrected   0.300 eV/atom

POSCAR file:
```
MnTcSe
1.0
-1.534 1.919 3.764
1.534 -1.919 3.764
1.534 1.919 -3.764
Mn Tc Se
1 1 1
direct
0.000 0.000 0.000
0.346 0.346 0.000
0.679 0.679 0.000
```



(2)
The following is a PBE calculation of MnTc2Se after structural relaxation, from Alexandria.

Results
V   59.3 Å³ per cell
SG   Cm (8)
Energy relative to the elements, uncorrected   0.242 eV/atom

POSCAR file:
```
MnTc2Se
1.0
4.447 -1.475 0.000
4.447 1.475 0.000
-0.351 0.000 4.520
Mn Tc Se
1 2 1
direct
0.000 0.000 0.000
0.260 0.260 0.734
0.521 0.521 0.520
0.751 0.751 0.192
```



(3)
The following is a PBE calculation of MnTcSe after structural relaxation, from Alexandria.

Results
V   41.0 Å³ per cell
SG   I4mm (107)
Energy above the most stable polymorph in this dataset   0.043 eV/atom
Energy relative to the elements, uncorrected   0.196 eV/atom

POSCAR file:
```
MnTcSe
1.0
-1.461 1.461 4.803
1.461 -1.461 4.803
1.461 1.461 -4.803
Mn Tc Se
1 1 1
direct
0.000 0.000 0.000
0.666 0.666 0.000
0.342 0.342 0.000
```



(4)
The following is a PBE calculation of MnTc2Se after structural relaxation, from Alexandria.

Results
V   56.4 Å³ per cell
SG   F-43m (216)
Energy relative to the elements, uncorrected   0.459 eV/atom

POSCAR file:
```
MnTc2Se
1.0
0.000 3.043 3.043
3.043 0.000 3.043
3.043 3.043 0.000
Mn Tc Se
1 2 1
direct
0.000 0.000 0.000
0.250 0.250 0.250
0.500 0.500 0.500
0.750 0.750 0.750
```